Entry 1:
Density functional theory data (SCAN) for a PBEsol-optimized structure of CoHg2As.

Unit cell a=3.6298 b=3.6298 c=5.4000 alpha=90.00 beta=90.00 gamma=90.00
Space group P4/mmm (No. 123)
Asymmetric unit:
Co  0.0000  0.0000  0.0000
Hg  0.5000  0.5000  0.2437
As  0.0000  0.0000  0.5000

## Properties
The density of states at the Fermi level comes out at 0.3021 states/eV/atom. The calculation puts the total energy at -43.009 eV/atom.

Entry 2:
Density functional theory data (SCAN) for a PBEsol-optimized structure of As2OsW.

Unit cell a=3.0535 b=5.0533 c=8.0801 alpha=90.00 beta=90.00 gamma=90.00
Space group Cmmm (No. 65)
Asymmetric unit:
As  0.0000  0.0000  0.2464
Os  0.0000  0.5000  0.0000
W  0.0000  0.5000  0.5000

## Properties
The density of states at the Fermi level comes out at 0.6851 states/eV/atom. The calculation puts the total energy at -44.718 eV/atom.

Entry 3:
Density functional theory data (SCAN) for a PBEsol-optimized structure of LuAl3.

Unit cell a=4.1636 b=4.1636 c=4.1636 alpha=90.00 beta=90.00 gamma=90.00
Space group Pm-3m (No. 221)
Asymmetric unit:
Lu  0.0000  0.0000  0.0000
Al  0.0000  0.5000  0.5000

## Properties
The density of states at the Fermi level comes out at 0.3195 states/eV/atom. The calculation puts the total energy at -20.076 eV/atom.

Entry 4:
Density functional theory data (SCAN) for a PBEsol-optimized structure of KSr2Hg2.

Unit cell a=5.9679 b=5.9679 c=12.2630 alpha=90.00 beta=90.00 gamma=90.00
Space group I4/mmm (No. 139)
Asymmetric unit:
K  0.0000  0.0000  0.0000
Sr  0.0000  0.0000  0.3394
Hg  0.0000  0.5000  0.2500

## Properties
The density of states at the Fermi level comes out at 0.7635 states/eV/atom. The calculation puts the total energy at -38.093 eV/atom.

Entry 5:
Density functional theory data (SCAN) for a PBEsol-optimized structure of GaCoP3.

Unit cell a=4.3342 b=4.3342 c=4.3342 alpha=90.00 beta=90.00 gamma=90.00
Space group Pm-3m (No. 221)
Asymmetric unit:
Ga  0.0000  0.0000  0.0000
Co  0.5000  0.5000  0.5000
P  0.0000  0.5000  0.5000

## Properties
The density of states at the Fermi level comes out at 0.9701 states/eV/atom. The calculation puts the total energy at -12.267 eV/atom.

Entry 6:
Density functional theory data (SCAN) for a PBEsol-optimized structure of GaHg2Bi.

Unit cell a=7.2919 b=7.2919 c=7.2919 alpha=90.00 beta=90.00 gamma=90.00
Space group Fm-3m (No. 225)
Asymmetric unit:
Ga  0.0000  0.0000  0.0000
Hg  0.2500  0.2500  0.2500
Bi  0.0000  0.0000  0.5000

## Properties
The density of states at the Fermi level comes out at 0.3929 states/eV/atom. The calculation puts the total energy at -57.644 eV/atom.

Entry 7:
Density functional theory data (SCAN) for a PBEsol-optimized structure of Rb3AlCr.

Unit cell a=6.7569 b=6.7569 c=6.7569 alpha=90.00 beta=90.00 gamma=90.00
Space group Pm-3m (No. 221)
Asymmetric unit:
Rb  0.0000  0.0000  0.5000
Al  0.0000  0.0000  0.0000
Cr  0.5000  0.5000  0.5000

## Properties
The density of states at the Fermi level comes out at 0.4850 states/eV/atom. The calculation puts the total energy at -16.835 eV/atom.

Entry 8:
Density functional theory data (SCAN) for a PBEsol-optimized structure of ScMoOs2.

Unit cell a=2.8513 b=2.8513 c=26.2907 alpha=90.00 beta=90.00 gamma=120.00
Space group R-3m (No. 166, hexagonal axes)
Asymmetric unit:
Sc  0.0000  0.0000  0.0000
Mo  0.0000  0.0000  0.5000
Os  0.0000  0.0000  0.2472

## Properties
The density of states at the Fermi level comes out at 0.6756 states/eV/atom. The calculation puts the total energy at -48.133 eV/atom.